[1]
First-principles (PBE-GGA) data for an optimized crystal structure of SmDyHo2, as listed in Alexandria.

```
SmDyHo2
1.0
-2.731 -1.702 -1.504
1.618 -3.109 0.581
-4.513 -0.673 8.960
Ho Sm Dy
2 1 1
direct
0.000 0.000 0.753
0.000 0.000 0.247
0.500 0.500 0.500
0.500 0.500 0.000
```

Summary:
The space group is No. 123. The calculation puts the relative energy among the computed polymorphs at 6 meV per atom. For the formation energy, the calculation gives 0.020 eV/atom.



[2]
First-principles (PBE-GGA) data for an optimized crystal structure of Hg5Rh, as listed in Alexandria.

```
Hg5Rh
1.0
2.878 -4.986 0.000
2.878 4.986 0.000
0.000 0.000 4.531
Hg Rh
5 1
direct
0.693 0.000 0.000
0.307 0.307 0.000
0.000 0.693 0.000
0.667 0.333 0.500
0.333 0.667 0.500
0.000 0.000 0.500
```

Summary:
The space group is No. 189. The calculation puts the relative energy among the computed polymorphs at 94 meV per atom. For the formation energy, the calculation gives 0.213 eV/atom.



Repeat the first record exactly.
First-principles (PBE-GGA) data for an optimized crystal structure of SmDyHo2, as listed in Alexandria.

```
SmDyHo2
1.0
-2.731 -1.702 -1.504
1.618 -3.109 0.581
-4.513 -0.673 8.960
Ho Sm Dy
2 1 1
direct
0.000 0.000 0.753
0.000 0.000 0.247
0.500 0.500 0.500
0.500 0.500 0.000
```

Summary:
The space group is No. 123. The calculation puts the relative energy among the computed polymorphs at 6 meV per atom. For the formation energy, the calculation gives 0.020 eV/atom.